Zr2BAu (PBE-GGA, relaxed); E = -24.3 eV per cell; mass density = 9.16 Mg/m³; space group = F-43m
1.0
0.000 3.282 3.282
3.282 0.000 3.282
3.282 3.282 0.000
Zr B Au
2 1 1
Direct
0.000 0.000 0.000
0.250 0.250 0.250
0.500 0.500 0.500
0.750 0.750 0.750

Zr2BAu (PBE-GGA, relaxed); E = -58.0 eV per cell; mass density = 8.88 Mg/m³; space group = P6_3/mmc
1.0
3.493 0.000 0.000
-1.747 3.025 0.000
0.000 0.000 13.811
Zr B Au
4 2 2
Direct
0.333 0.667 0.095
0.333 0.667 0.405
0.667 0.333 0.595
0.667 0.333 0.905
0.000 0.000 0.000
0.000 0.000 0.500
0.333 0.667 0.750
0.667 0.333 0.250

Zr3B2Au (PBE-GGA, relaxed); E = -90.1 eV per cell; mass density = 7.95 Mg/m³; space group = P6_3/mmc
1.0
3.473 0.000 0.000
-1.737 3.008 0.000
0.000 0.000 19.689
Zr B Au
6 4 2
Direct
0.000 0.000 0.000
0.000 0.000 0.500
0.333 0.667 0.139
0.333 0.667 0.361
0.667 0.333 0.639
0.667 0.333 0.861
0.333 0.667 0.575
0.333 0.667 0.925
0.667 0.333 0.075
0.667 0.333 0.425
0.000 0.000 0.250
0.000 0.000 0.750

Ba2Au3 (PBE-GGA, relaxed); E = -16.8 eV per cell; mass density = 10.04 Mg/m³; space group = Immm
1.0
-2.528 2.869 4.936
2.528 -2.869 4.936
2.528 2.869 -4.936
Ba Au
2 3
Direct
0.192 0.192 0.000
0.808 0.808 0.000
0.246 0.500 0.746
0.500 0.000 0.500
0.754 0.500 0.254

BaAu5 (PBE-GGA, relaxed); E = -20.9 eV per cell; mass density = 13.92 Mg/m³; space group = P6/mmm
1.0
5.775 0.000 0.000
-2.888 5.002 0.000
0.000 0.000 4.636
Ba Au
1 5
Direct
0.000 0.000 0.000
0.000 0.500 0.500
0.333 0.667 0.000
0.500 0.000 0.500
0.500 0.500 0.500
0.667 0.333 0.000

Ba2BeAu (PBE-GGA, relaxed); E = -10.1 eV per cell; mass density = 7.15 Mg/m³; space group = F-43m
1.0
0.000 3.821 3.821
3.821 0.000 3.821
3.821 3.821 0.000
Ba Be Au
2 1 1
Direct
0.000 0.000 0.000
0.250 0.250 0.250
0.500 0.500 0.500
0.750 0.750 0.750

BaLaBeAu (PBE-GGA, relaxed); E = -14.1 eV per cell; offset from the most stable computed form = 0.000 eV per atom; mass density = 7.01 Mg/m³; space group = F-43m
1.0
0.000 3.851 3.851
3.851 0.000 3.851
3.851 3.851 0.000
Ba La Be Au
1 1 1 1
Direct
0.000 0.000 0.000
0.500 0.500 0.500
0.750 0.750 0.750
0.250 0.250 0.250

BaBeTlAu (PBE-GGA, relaxed); E = -10.8 eV per cell; offset from the most stable computed form = 0.000 eV per atom; mass density = 8.64 Mg/m³; space group = F-43m
1.0
0.000 3.748 3.748
3.748 0.000 3.748
3.748 3.748 0.000
Ba Be Tl Au
1 1 1 1
Direct
0.000 0.000 0.000
0.750 0.750 0.750
0.500 0.500 0.500
0.250 0.250 0.250